[1]
The following is a PBE calculation of a relaxed structure of Tb3Dy3Ho2, from Alexandria.

a b c (Å): 8.5195 8.5195 5.9668
angles (deg): 110.31 110.31 38.96
With the nearest neighbours (Å) after each atom.
Element x y z (fractional)
Tb 0.0000 0.0000 0.0000  2 Tb 3.29, 4 Dy 3.47
Tb 0.1323 0.1323 0.6905  1 Tb 3.29, 4 Ho 3.41-3.52, 5 Dy 3.48-3.66
Tb 0.8677 0.8677 0.3095  1 Tb 3.29, 4 Ho 3.41-3.52, 5 Dy 3.48-3.66
Dy 0.3680 0.3680 0.9240  1 Dy 3.31, 4 Ho 3.41-3.52, 5 Tb 3.47-3.66
Dy 0.5000 0.5000 0.5000  2 Dy 3.31, 4 Tb 3.48
Dy 0.6320 0.6320 0.0760  1 Dy 3.31, 4 Ho 3.41-3.52, 5 Tb 3.47-3.66
Ho 0.2499 0.2499 0.3174  5 Tb 3.41-3.76, 5 Dy 3.41-3.76, 2 Ho 3.58
Ho 0.7501 0.7501 0.6826  5 Tb 3.41-3.76, 5 Dy 3.41-3.76, 2 Ho 3.58



[2]
The following is a PBE calculation of a relaxed structure of Tb2Dy8Ho, from Alexandria.

a b c (Å): 9.1919 9.1919 6.4325
angles (deg): 108.41 108.41 42.85
With the nearest neighbours (Å) after each atom.
Element x y z (fractional)
Tb 0.2162 0.2162 0.1095  7 Dy 3.13-3.43
Tb 0.7838 0.7838 0.8905  7 Dy 3.13-3.43
Dy 0.0579 0.0579 0.2488  1 Tb 3.13, 5 Dy 3.14-3.41
Dy 0.1611 0.6334 0.3109  5 Dy 3.17-3.54, 2 Tb 3.27-3.33, 1 Ho 3.46
Dy 0.2906 0.2906 0.6766  4 Tb 3.43-3.65, 1 Ho 3.48, 4 Dy 3.70-3.78
Dy 0.3666 0.8389 0.6891  5 Dy 3.17-3.54, 2 Tb 3.27-3.33, 1 Ho 3.46
Dy 0.6334 0.1611 0.3109  5 Dy 3.17-3.54, 2 Tb 3.27-3.33, 1 Ho 3.46
Dy 0.7094 0.7094 0.3234  4 Tb 3.43-3.65, 1 Ho 3.48, 4 Dy 3.70-3.78
Dy 0.8389 0.3666 0.6891  5 Dy 3.17-3.54, 2 Tb 3.27-3.33, 1 Ho 3.46
Dy 0.9421 0.9421 0.7512  1 Tb 3.13, 5 Dy 3.14-3.41
Ho 0.5000 0.5000 0.0000  10 Dy 3.46-3.71



[3]
The following is a PBE calculation of a relaxed structure of Tb4Dy6Ho, from Alexandria.

a b c (Å): 5.5689 5.5689 25.4875
angles (deg): 90.00 90.00 118.45
With the nearest neighbours (Å) after each atom.
Element x y z (fractional)
Tb 0.0354 0.9646 0.6215  5 Dy 3.11-3.28
Tb 0.0354 0.9646 0.8785  5 Dy 3.11-3.28
Tb 0.3460 0.6540 0.5432  7 Dy 3.39-3.70, 2 Tb 3.58-3.68
Tb 0.3460 0.6540 0.9568  7 Dy 3.39-3.70, 2 Tb 3.58-3.68
Tb 0.6540 0.3460 0.0432  7 Dy 3.39-3.70, 2 Tb 3.58-3.68
Tb 0.6540 0.3460 0.4568  7 Dy 3.39-3.70, 2 Tb 3.58-3.68
Tb 0.9646 0.0354 0.1215  5 Dy 3.11-3.28
Tb 0.9646 0.0354 0.3785  5 Dy 3.11-3.28
Dy 0.0000 0.0000 0.0000  6 Tb 3.11-3.39
Dy 0.0000 0.0000 0.5000  6 Tb 3.11-3.39
Dy 0.0285 0.9715 0.7500  3 Ho 3.20-3.26, 2 Tb 3.28
Dy 0.3048 0.6952 0.1051  5 Tb 3.26-3.56
Dy 0.3048 0.6952 0.3949  5 Tb 3.26-3.56
Dy 0.3631 0.6369 0.6821  7 Dy 3.46-3.81, 4 Tb 3.50-3.64, 3 Ho 3.61-3.71
Dy 0.3631 0.6369 0.8179  7 Dy 3.46-3.81, 4 Tb 3.50-3.64, 3 Ho 3.61-3.71
Dy 0.6369 0.3631 0.1821  7 Dy 3.46-3.81, 4 Tb 3.50-3.64, 3 Ho 3.61-3.71
Dy 0.6369 0.3631 0.3179  7 Dy 3.46-3.81, 4 Tb 3.50-3.64, 3 Ho 3.61-3.71
Dy 0.6952 0.3048 0.6051  5 Tb 3.26-3.56
Dy 0.6952 0.3048 0.8949  5 Tb 3.26-3.56
Dy 0.9715 0.0285 0.2500  3 Ho 3.20-3.26, 2 Tb 3.28
Ho 0.3063 0.6937 0.2500  3 Dy 3.20-3.26
Ho 0.6937 0.3063 0.7500  3 Dy 3.20-3.26



The evaluated total DFT energy (no corrections) for the records listed, in turn: -0.332; -0.325; -0.329 Ry/atom.